DFT (GGA-PBE) results for a geometry-optimized LaCe4Y3S8 structure.

Structure (extended XYZ):
```
16
Lattice="3.996 2.307 6.563 -3.996 2.307 6.563 0.000 -4.614 6.563" Properties=species:S:1:pos:R:3 pbc="T T T"
La 0.000 0.000 0.000
Ce -3.996 0.000 9.844
Ce -1.998 1.154 3.281
Ce 1.998 1.154 3.281
Ce 0.000 0.000 9.844
Y -1.998 -1.154 6.563
Y -1.998 1.154 13.126
Y 0.000 2.307 6.563
S 0.000 -2.245 8.173
S -1.944 1.122 8.173
S 0.000 0.000 4.991
S -1.944 -1.122 11.516
S 1.944 1.122 8.173
S 0.000 0.000 14.697
S 1.944 -1.122 11.516
S 0.000 2.245 11.516
```

**Density**: 5.59 Mg/m³
**Space group**: No. 166
**Formation energy without anion corrections**: -2.041 eV per atom
**Fermi-level density of states**: 22.2 states/eV per cell